No. 1
Here is a relaxed structure of ReSnTeN2 from Alexandria. Energies are from GGA-PBE.

## Properties
Symmetry: P4/mmm (123)
Calculated volume (Å³ per atom): 18.3
Formation energy from raw total energies (eV/f.u.): 3.159

Lattice parameters (Å, degrees): 4.026 4.026 5.637 90.00 90.00 90.00
Each line ends with the local moment (μB).
Fractional coordinates of all 5 atoms:
Re1 0.000 0.000 0.000  0.03
Te1 0.000 0.000 0.500  0.00
Sn1 0.500 0.500 0.500  0.00
N1 0.000 0.500 0.000  -0.05
N2 0.500 0.000 0.000  -0.05

=====

No. 2
Here is a relaxed structure of DyHoTm2Te6 from Alexandria. Energies are from GGA-PBE.

## Properties
Symmetry: R3 (146)
Calculated volume (Å³ per atom): 35.2
Formation energy from raw total energies (eV/f.u.): -13.436

Lattice parameters (Å, degrees): 7.636 7.636 8.252 62.44 62.44 60.01
Fractional coordinates of all 10 atoms:
Dy1 0.823 0.823 0.531
Ho1 0.323 0.323 0.030
Tm1 0.508 0.508 0.476
Tm2 0.008 0.008 0.976
Te1 0.604 0.234 0.250
Te2 0.234 0.912 0.250
Te3 0.912 0.604 0.250
Te4 0.411 0.733 0.751
Te5 0.733 0.105 0.751
Te6 0.105 0.411 0.751

=====

No. 3
Here is a relaxed structure of K2BeNbC from Alexandria. Energies are from GGA-PBE.

## Properties
Symmetry: P4/mmm (123)
Calculated volume (Å³ per atom): 43.9
Energy of formation (eV/atom): 2.470

Lattice parameters (Å, degrees): 6.721 4.862 6.721 90.00 90.00 90.00
Each line ends with the local moment (μB).
Fractional coordinates of all 5 atoms:
C1 0.500 0.500 0.500  1.13
Be1 0.000 0.500 0.000  0.12
Nb1 0.000 0.000 0.000  3.01
K1 0.000 0.000 0.500  0.06
K2 0.500 0.000 0.000  0.05

=====

No. 4
Here is a relaxed structure of Pr2ScZn from Alexandria. Energies are from GGA-PBE.

## Properties
Symmetry: R-3m (166)
Calculated volume (Å³ per atom): 29.2
Energy of formation (eV/atom): 0.213

Lattice parameters (Å, degrees): 3.429 3.429 11.618 81.51 81.51 60.00
Fractional coordinates of all 4 atoms:
Pr1 0.096 0.096 0.713
Pr2 0.904 0.904 0.287
Sc1 0.000 0.000 0.000
Zn1 0.500 0.500 0.500

=====

No. 5
Here is a relaxed structure of V6SiW from Alexandria. Energies are from GGA-PBE.

## Properties
Symmetry: Pm-3 (200)
Calculated volume (Å³ per atom): 13.7
Formation energy from raw total energies (eV/f.u.): -1.720

Lattice parameters (Å, degrees): 6.767 6.767 4.781 45.06 45.02 60.06
Fractional coordinates of all 8 atoms:
V1 0.000 0.500 0.748
V2 0.753 0.000 0.747
V3 0.500 0.247 0.253
V4 0.247 0.000 0.253
V5 0.000 0.500 0.252
V6 0.500 0.753 0.747
Si1 0.000 0.000 0.000
W1 0.500 0.500 0.500

=====

No. 6
Here is a relaxed structure of TaNb3Ge from Alexandria. Energies are from GGA-PBE.

## Properties
Symmetry: Pc (7)
Calculated volume (Å³ per atom): 19.9
Energy of formation (eV/atom): 0.261

Lattice parameters (Å, degrees): 5.364 5.624 6.598 90.00 90.00 90.00
Fractional coordinates of all 10 atoms:
Ta1 0.502 0.354 0.702
Ta2 0.002 0.999 0.202
Nb1 0.348 0.354 0.202
Nb2 0.424 0.953 0.951
Nb3 0.924 0.400 0.451
Nb4 0.848 0.999 0.702
Nb5 0.927 0.399 0.951
Nb6 0.427 0.953 0.451
Ge1 0.176 0.677 0.699
Ge2 0.676 0.676 0.199

=====

No. 7
Here is a relaxed structure of Th2PaSb from Alexandria. Energies are from GGA-PBE.

## Properties
Symmetry: P4/mmm (123)
Calculated volume (Å³ per atom): 27.9
Formation energy from raw total energies (eV/f.u.): -1.159

Lattice parameters (Å, degrees): 4.648 4.901 4.901 90.00 90.00 90.00
Fractional coordinates of all 4 atoms:
Sb1 0.500 0.000 0.000
Pa1 0.500 0.500 0.500
Th1 0.000 0.000 0.500
Th2 0.000 0.500 0.000

=====

No. 8
Here is a relaxed structure of MgNbCdRh from Alexandria. Energies are from GGA-PBE.

## Properties
Symmetry: F-43m (216)
Calculated volume (Å³ per atom): 17.1
Energy of formation (eV/atom): -0.133

Lattice parameters (Å, degrees): 4.591 4.591 4.591 60.00 60.00 60.00
Fractional coordinates of all 4 atoms:
Nb1 0.000 0.000 0.000
Rh1 0.250 0.250 0.250
Mg1 0.750 0.750 0.750
Cd1 0.500 0.500 0.500

=====

No. 9
Here is a relaxed structure of Zr3Si4Pd2 from Alexandria. Energies are from GGA-PBE.

## Properties
Symmetry: C2/m (12)
Calculated volume (Å³ per atom): 16.9
Formation energy from raw total energies (eV/f.u.): -7.491

Lattice parameters (Å, degrees): 3.985 5.505 7.928 109.09 90.00 111.22
Fractional coordinates of all 9 atoms:
Zr1 0.624 0.249 0.698
Zr2 0.000 0.000 0.000
Zr3 0.376 0.751 0.302
Si1 0.720 0.440 0.063
Si2 0.280 0.560 0.937
Si3 0.918 0.837 0.581
Si4 0.082 0.163 0.419
Pd1 0.672 0.345 0.334
Pd2 0.328 0.655 0.666

=====

No. 10
Here is a relaxed structure of TbNdHoMg from Alexandria. Energies are from GGA-PBE.

## Properties
Symmetry: F-43m (216)
Calculated volume (Å³ per atom): 30.3
Energy of formation (eV/atom): 0.033

Lattice parameters (Å, degrees): 5.556 5.556 5.556 60.00 60.00 60.00
Fractional coordinates of all 4 atoms:
Nd1 0.750 0.750 0.750
Mg1 0.000 0.000 0.000
Tb1 0.250 0.250 0.250
Ho1 0.500 0.500 0.500

=====

No. 11
Here is a relaxed structure of LiAg2Bi2 from Alexandria. Energies are from GGA-PBE.

## Properties
Symmetry: P4/mbm (127)
Calculated volume (Å³ per atom): 25.2
Energy of formation (eV/atom): 0.012

Lattice parameters (Å, degrees): 8.478 8.478 3.510 90.00 90.00 90.00
Fractional coordinates of all 10 atoms:
Bi1 0.325 0.825 0.000
Bi2 0.825 0.675 0.000
Bi3 0.675 0.175 0.000
Bi4 0.175 0.325 0.000
Ag1 0.122 0.622 0.500
Ag2 0.622 0.878 0.500
Ag3 0.878 0.378 0.500
Ag4 0.378 0.122 0.500
Li1 0.000 0.000 0.000
Li2 0.500 0.500 0.000

=====

No. 12
Here is a relaxed structure of PuHg2Ge from Alexandria. Energies are from GGA-PBE.

## Properties
Symmetry: P4/mmm (123)
Calculated volume (Å³ per atom): 23.5
Energy of formation (eV/atom): -0.156

Lattice parameters (Å, degrees): 5.040 4.322 4.322 90.00 90.00 90.00
Each line ends with the local moment (μB).
Fractional coordinates of all 4 atoms:
Ge1 0.500 0.500 0.500  0.02
Hg1 0.000 0.000 0.500  -0.02
Hg2 0.000 0.500 0.000  -0.02
Pu1 0.500 0.000 0.000  -5.26